# Dy3Ga7Ru2

A relaxed Dy3Ga7Ru2 crystal (PBE, Alexandria via LeMat-Bulk).

Output
- Density of states at the Fermi level: 7.622 states/eV/f.u.
- E_tot: -4.867 eV per atom

Cell lengths 4.644, 22.768, 4.645 Å; angles 90.00, 90.00, 90.00 degrees
Space group Cmmm (No. 65)
Inequivalent atoms, fractional coordinates:
1 Dy 0.000 0.000 0.000
2 Dy 0.000 0.182 0.000
3 Ga 0.000 0.091 0.500
4 Ga 0.000 0.281 0.500
5 Ga 0.000 0.409 0.000
6 Ga 0.000 0.500 0.500
7 Ru 0.000 0.390 0.500

# Dy8Ga2Ru

A relaxed Dy8Ga2Ru crystal (PBE, Alexandria via LeMat-Bulk).

Output
- Density of states at the Fermi level: 9.442 states/eV/f.u.
- E_tot: -5.042 eV per atom
- Distance to the lowest polymorph of the same formula: 0 meV per atom

Cell lengths 17.645, 5.036, 6.680 Å; angles 90.00, 102.91, 90.00 degrees
Space group C2/m (No. 12)
Inequivalent atoms, fractional coordinates:
1 Dy 0.024 0.000 0.280
2 Dy 0.090 0.500 0.941
3 Dy 0.154 0.500 0.459
4 Dy 0.203 0.000 0.804
5 Ga 0.192 0.000 0.238
6 Ru 0.000 0.500 0.500

Question: Look up the density of states at the Fermi level of the second one.
Answer: 9.442 states/eV/f.u.

Question: What is the density of states at the Fermi level in the second record?
Answer: 9.442 states/eV/f.u.

Question: The highest density of states at the Fermi level belongs to which entry?
Answer: Dy8Ga2Ru